[1]
Entry from Alexandria via LeMat-Bulk: crystalline CaHfS3 at its relaxed geometry (PBE).

Geometry as extended XYZ:
```
10
Lattice="6.8237 0.0000 0.0000 -3.4118 5.9095 0.0000 0.0000 0.0000 6.6339" Properties=species:S:1:pos:R:3 pbc="T T T"
Ca 0.0000 0.0000 0.0000
Ca 0.0000 0.0000 3.3170
Hf 3.4118 1.9698 0.0000
Hf 3.4118 1.9698 3.3170
S 2.2282 0.4082 1.6585
S 1.4676 1.7256 4.9755
S 4.5954 0.4082 4.9755
S 2.6512 3.7757 1.6585
S 5.3560 1.7256 1.6585
S 4.1724 3.7757 4.9755
```

## Properties
Symmetry: No. 188
Electronic total energy, eV/atom: -6.55

---

[2]
Entry from Alexandria via LeMat-Bulk: crystalline PrErZn10 at its relaxed geometry (PBE).

Geometry as extended XYZ:
```
12
Lattice="4.2327 0.0000 0.0000 0.0000 5.3572 0.0000 0.0000 0.0000 9.2489" Properties=species:S:1:pos:R:3 pbc="T T T"
Pr 0.0000 0.0000 0.0000
Er 0.0000 2.6786 4.6245
Zn 0.0000 0.0000 3.1409
Zn 0.0000 0.0000 6.1081
Zn 0.0000 2.6786 1.5997
Zn 0.0000 2.6786 7.6492
Zn 2.1164 0.0000 4.6245
Zn 2.1164 1.3521 2.3515
Zn 2.1164 1.3521 6.8975
Zn 2.1164 2.6786 0.0000
Zn 2.1164 4.0051 2.3515
Zn 2.1164 4.0051 6.8975
```

## Properties
ΔH_f (0 K), eV/atom: -0.28
Symmetry: No. 47

---

[3]
Entry from Alexandria via LeMat-Bulk: crystalline VGaSb2I at its relaxed geometry (PBE).

Geometry as extended XYZ:
```
5
Lattice="5.2375 0.0000 0.0000 0.0000 5.2375 0.0000 0.0000 0.0000 5.5681" Properties=species:S:1:pos:R:3 pbc="T T T"
V 0.0000 0.0000 0.0000
Ga 2.6188 2.6188 2.7841
Sb 0.0000 2.6188 2.7841
Sb 2.6188 0.0000 2.7841
I 2.6188 2.6188 0.0000
```

## Properties
Symmetry: No. 123
Energy relative to the lowest polymorph listed for this composition, meV/atom: 864.9

---

[4]
Entry from Alexandria via LeMat-Bulk: crystalline TcPd2Ru at its relaxed geometry (PBE).

Geometry as extended XYZ:
```
4
Lattice="0.0000 3.1046 3.1046 3.1046 0.0000 3.1046 3.1046 3.1046 0.0000" Properties=species:S:1:pos:R:3 pbc="T T T"
Tc 0.0000 0.0000 0.0000
Pd 1.5523 1.5523 1.5523
Pd 4.6569 4.6569 4.6569
Ru 3.1046 3.1046 3.1046
```

## Properties
ΔH_f (0 K), eV/atom: 0.49
Symmetry: No. 225
Energy relative to the lowest polymorph listed for this composition, meV/atom: 0.0

---

[5]
Entry from Alexandria via LeMat-Bulk: crystalline KCd6 at its relaxed geometry (PBE).

Geometry as extended XYZ:
```
7
Lattice="-4.0335 4.0335 4.0335 4.0335 -4.0335 4.0335 4.0335 4.0335 -4.0335" Properties=species:S:1:pos:R:3 pbc="T T T"
K 0.0000 0.0000 0.0000
Cd 4.0335 2.0167 0.0000
Cd 4.0335 0.0000 2.0167
Cd 2.0167 4.0335 0.0000
Cd 2.0167 0.0000 4.0335
Cd 0.0000 4.0335 2.0167
Cd 0.0000 2.0167 4.0335
```

## Properties
ΔH_f (0 K), eV/atom: 0.14
Symmetry: No. 229
Energy relative to the lowest polymorph listed for this composition, meV/atom: 199.5

---

[6]
Entry from Alexandria via LeMat-Bulk: crystalline SrTlHBr2 at its relaxed geometry (PBE).

Geometry as extended XYZ:
```
5
Lattice="5.7653 0.0000 0.0000 0.0000 5.7653 0.0000 0.0000 0.0000 3.9990" Properties=species:S:1:pos:R:3 pbc="T T T"
Sr 0.0000 0.0000 0.0000
Tl 2.8826 2.8826 0.0000
H 2.8826 2.8826 1.9995
Br 0.0000 2.8826 1.9995
Br 2.8826 0.0000 1.9995
```

## Properties
Symmetry: No. 123
Electronic total energy, eV/atom: -2.82

---

[7]
Entry from Alexandria via LeMat-Bulk: crystalline Nb2CoPW at its relaxed geometry (PBE).

Geometry as extended XYZ:
```
5
Lattice="4.6304 0.0000 0.0000 0.0000 4.6304 0.0000 0.0000 0.0000 3.9432" Properties=species:S:1:pos:R:3 pbc="T T T"
Nb 0.0000 2.3152 0.0000
Nb 2.3152 0.0000 0.0000
Co 0.0000 0.0000 1.9716
P 0.0000 0.0000 0.0000
W 2.3152 2.3152 1.9716
```

## Properties
ΔH_f (0 K), eV/atom: 0.34
Symmetry: No. 123

---

[8]
Entry from Alexandria via LeMat-Bulk: crystalline Nb2IrPt2 at its relaxed geometry (PBE).

Geometry as extended XYZ:
```
10
Lattice="7.1656 0.0000 0.0000 0.0000 7.1656 0.0000 0.0000 0.0000 3.3206" Properties=species:S:1:pos:R:3 pbc="T T T"
Nb 1.2405 2.3423 0.0000
Nb 2.3423 5.9251 0.0000
Nb 4.8233 1.2405 0.0000
Nb 5.9251 4.8233 0.0000
Ir 0.0000 0.0000 1.6603
Ir 3.5828 3.5828 1.6603
Pt 0.9444 4.5272 1.6603
Pt 2.6385 0.9444 1.6603
Pt 4.5272 6.2213 1.6603
Pt 6.2213 2.6385 1.6603
```

## Properties
ΔH_f (0 K), eV/atom: -0.37
Symmetry: No. 127
Energy relative to the lowest polymorph listed for this composition, meV/atom: 143.1

---

[9]
Entry from Alexandria via LeMat-Bulk: crystalline TcS at its relaxed geometry (PBE).

Geometry as extended XYZ:
```
4
Lattice="1.5003 0.8662 9.3719 -1.5003 0.8662 9.3719 0.0000 -1.7324 9.3719" Properties=species:S:1:pos:R:3 pbc="T T T"
Tc 0.0000 0.0000 0.0000
Tc 0.0000 0.0000 11.7030
S 0.0000 0.0000 3.8577
S 0.0000 0.0000 17.2086
```

## Properties
Symmetry: No. 160
Energy relative to the lowest polymorph listed for this composition, meV/atom: 40.7

---

[10]
Entry from Alexandria via LeMat-Bulk: crystalline Tb3Y5Er2 at its relaxed geometry (PBE).

Geometry as extended XYZ:
```
20
Lattice="5.3588 -7.9501 0.0000 5.3588 7.9501 0.0000 -5.3550 0.0000 7.7199" Properties=species:S:1:pos:R:3 pbc="T T T"
Tb 1.3426 7.4895 5.7899
Tb 1.3402 1.9380 3.4995
Tb -1.3373 -1.9380 7.3595
Tb 6.6999 1.9380 0.3604
Tb 4.0224 -1.9380 4.2204
Tb 4.0201 -7.4895 1.9300
Y -1.3480 1.8336 5.7752
Y 1.3426 4.3087 5.7899
Y 4.0201 3.6437 1.9300
Y 1.3295 -1.8336 1.9152
Y 4.0201 0.4465 1.9300
Y 1.3426 -0.4465 5.7899
Y 4.0331 1.8336 5.8047
Y 1.3426 -3.6437 5.7899
Y 4.0201 -4.3087 1.9300
Y 6.7106 -1.8336 1.9447
Er 1.3386 1.9106 0.3569
Er -1.3388 -1.9106 4.2169
Er 6.7015 1.9106 3.5030
Er 4.0240 -1.9106 7.3629
```

## Properties
ΔH_f (0 K), eV/atom: 0.19
Symmetry: No. 15
Energy relative to the lowest polymorph listed for this composition, meV/atom: 0.0

---

[11]
Entry from Alexandria via LeMat-Bulk: crystalline Pm4Cd2GaHg at its relaxed geometry (PBE).

Geometry as extended XYZ:
```
8
Lattice="2.6754 1.5446 8.7707 -2.6754 1.5446 8.7707 0.0000 -3.0893 8.7707" Properties=species:S:1:pos:R:3 pbc="T T T"
Pm 0.0000 0.0000 3.2047
Pm 0.0000 0.0000 9.7818
Pm 0.0000 0.0000 16.5302
Pm 0.0000 0.0000 23.1072
Cd 0.0000 0.0000 6.5440
Cd 0.0000 0.0000 19.7680
Ga 0.0000 0.0000 0.0000
Hg 0.0000 0.0000 13.1560
```

## Properties
ΔH_f (0 K), eV/atom: -0.41
Symmetry: No. 166

---

[12]
Entry from Alexandria via LeMat-Bulk: crystalline KFeSb2Te at its relaxed geometry (PBE).

Geometry as extended XYZ:
```
5
Lattice="5.0077 0.0000 0.0000 0.0000 5.0077 0.0000 0.0000 0.0000 5.8691" Properties=species:S:1:pos:R:3 pbc="T T T"
K 0.0000 0.0000 0.0000
Fe 2.5038 2.5038 2.9346
Sb 0.0000 2.5038 2.9346
Sb 2.5038 0.0000 2.9346
Te 2.5038 2.5038 0.0000
```

## Properties
Symmetry: No. 123
Electronic total energy, eV/atom: -4.14

---

[13]
Entry from Alexandria via LeMat-Bulk: crystalline AcTbNd5 at its relaxed geometry (PBE).

Geometry as extended XYZ:
```
14
Lattice="4.4935 -5.0893 0.0000 4.4935 5.0893 0.0000 -3.8506 0.0000 11.2076" Properties=species:S:1:pos:R:3 pbc="T T T"
Ac 2.2467 2.5446 0.0000
Ac 0.3214 -2.5446 5.6038
Tb 1.6055 2.6363 8.4057
Tb 3.5308 -2.6363 2.8019
Nd -1.4467 0.7350 7.4932
Nd 0.4786 -0.7350 1.8894
Nd 1.1623 1.0627 5.2184
Nd 3.5308 0.8227 2.8019
Nd -0.7630 -1.0627 10.8222
Nd 5.8993 1.0627 0.3854
Nd 1.6055 -0.8227 8.4057
Nd 3.9740 -1.0627 5.9892
Nd 4.6578 0.7350 9.3182
Nd 6.5831 -0.7350 3.7144
```

## Properties
ΔH_f (0 K), eV/atom: 0.09
Symmetry: No. 15

---

[14]
Entry from Alexandria via LeMat-Bulk: crystalline Ni3Br at its relaxed geometry (PBE).

Geometry as extended XYZ:
```
4
Lattice="4.4074 0.0000 0.0000 0.0000 4.4074 0.0000 0.0000 0.0000 4.4074" Properties=species:S:1:pos:R:3 pbc="T T T"
Ni 0.0000 0.0000 2.2037
Ni 0.0000 2.2037 0.0000
Ni 2.2037 0.0000 0.0000
Br 0.0000 0.0000 0.0000
```

## Properties
Symmetry: No. 221
Energy relative to the lowest polymorph listed for this composition, meV/atom: 967.5

---

[15]
Entry from Alexandria via LeMat-Bulk: crystalline AlVOs2 at its relaxed geometry (PBE).

Geometry as extended XYZ:
```
8
Lattice="-3.4721 3.4721 2.6231 3.4721 -3.4721 2.6231 3.4721 3.4721 -2.6231" Properties=species:S:1:pos:R:3 pbc="T T T"
Al 0.0000 0.0000 0.0000
Al 0.0000 3.4721 1.3116
V 3.4721 0.0000 1.3116
V 0.0000 0.0000 2.6231
Os 1.7361 -1.4693 1.9673
Os 2.0028 1.7361 0.6558
Os 1.7361 4.9415 -0.6558
Os 1.4693 1.7361 3.2789
```

## Properties
ΔH_f (0 K), eV/atom: 0.48
Symmetry: No. 122

---

[16]
Entry from Alexandria via LeMat-Bulk: crystalline AcDy8Y6 at its relaxed geometry (PBE).

Geometry as extended XYZ:
```
15
Lattice="4.5410 2.6218 6.9468 -4.5410 2.6218 6.9468 0.0000 -5.2435 6.9468" Properties=species:S:1:pos:R:3 pbc="T T T"
Ac 0.0000 0.0000 0.0000
Dy -2.8750 -1.5162 10.9319
Dy -0.1244 -3.2479 9.9086
Dy -2.7505 1.7317 9.9086
Dy 0.0000 0.0000 8.8271
Dy 0.0000 0.0000 12.0134
Dy 2.7505 -1.7317 10.9319
Dy 0.1244 3.2479 10.9319
Dy 2.8750 1.5162 9.9086
Y -0.6352 -1.8952 6.0893
Y -1.3237 1.4977 6.0893
Y -1.9589 -0.3975 14.7511
Y 1.9589 0.3975 6.0893
Y 1.3237 -1.4977 14.7511
Y 0.6352 1.8952 14.7511
```

## Properties
ΔH_f (0 K), eV/atom: 0.14
Symmetry: No. 148

---

[17]
Entry from Alexandria via LeMat-Bulk: crystalline Li2MnPd8 at its relaxed geometry (PBE).

Geometry as extended XYZ:
```
11
Lattice="7.0099 -1.9543 0.0000 7.0099 1.9543 0.0000 -1.7181 0.0000 5.9608" Properties=species:S:1:pos:R:3 pbc="T T T"
Li 2.9353 0.0000 0.8544
Li 9.3665 0.0000 5.1065
Mn 6.1509 0.0000 2.9804
Pd 0.2506 0.0000 1.3628
Pd 0.7588 0.0000 4.0978
Pd 3.4559 0.0000 3.5073
Pd 5.6056 0.0000 0.2782
Pd 6.6963 0.0000 5.6826
Pd 8.8459 0.0000 2.4535
Pd 11.5431 0.0000 1.8630
Pd 12.0513 0.0000 4.5981
```

## Properties
ΔH_f (0 K), eV/atom: -0.24
Symmetry: No. 12

---

[18]
Entry from Alexandria via LeMat-Bulk: crystalline Cs2PuAu2Se4 at its relaxed geometry (PBE).

Geometry as extended XYZ:
```
9
Lattice="7.7891 -2.1501 0.0000 7.7891 2.1501 0.0000 -2.6125 0.0000 8.1467" Properties=species:S:1:pos:R:3 pbc="T T T"
Cs 1.9164 0.0000 0.6177
Cs 11.0492 0.0000 7.5291
Pu -1.3062 0.0000 4.0734
Au 3.7488 0.0000 4.1738
Au 9.2168 0.0000 3.9729
Se 1.1846 0.0000 5.5270
Se 5.7256 0.0000 5.8879
Se 7.2401 0.0000 2.2589
Se 11.7811 0.0000 2.6197
```

## Properties
Symmetry: No. 12
Electronic total energy, eV/atom: -4.95

---

[19]
Entry from Alexandria via LeMat-Bulk: crystalline Pm2Tm2Sc3 at its relaxed geometry (PBE).

Geometry as extended XYZ:
```
7
Lattice="8.4264 -1.6959 0.0000 8.4264 1.6959 0.0000 -3.9955 0.0000 7.2022" Properties=species:S:1:pos:R:3 pbc="T T T"
Pm 0.2471 0.0000 1.6660
Pm 12.6101 0.0000 5.5361
Tm 5.7398 0.0000 0.2557
Tm 7.1174 0.0000 6.9465
Sc 3.3442 0.0000 2.7274
Sc 6.4286 0.0000 3.6011
Sc 9.5130 0.0000 4.4748
```

## Properties
ΔH_f (0 K), eV/atom: 0.15
Symmetry: No. 12
Energy relative to the lowest polymorph listed for this composition, meV/atom: 0.0

---

[20]
Entry from Alexandria via LeMat-Bulk: crystalline CaMgSb2O8 at its relaxed geometry (PBE).

Geometry as extended XYZ:
```
12
Lattice="5.4085 0.0000 0.0000 -2.7043 4.6839 0.0000 0.0000 0.0000 6.1350" Properties=species:S:1:pos:R:3 pbc="T T T"
Ca 0.0000 0.0000 0.0000
Mg 0.0000 0.0000 3.0675
Sb 0.0000 3.1226 2.6342
Sb 2.7043 1.5613 3.5009
O -0.7025 1.6619 4.0095
O -0.9137 4.4614 4.0095
O 0.0000 3.1226 0.6015
O 1.0880 1.4394 2.1255
O 1.6163 3.2446 4.0095
O 2.7043 1.5613 5.5335
O 3.6180 0.2225 2.1255
O 3.4068 3.0220 2.1255
```

## Properties
Symmetry: No. 147
Electronic total energy, eV/atom: -5.64

---

[21]
Entry from Alexandria via LeMat-Bulk: crystalline La3PmRu at its relaxed geometry (PBE).

Geometry as extended XYZ:
```
5
Lattice="5.5958 0.0000 0.0000 0.0000 5.5958 0.0000 0.0000 0.0000 5.5958" Properties=species:S:1:pos:R:3 pbc="T T T"
La 0.0000 0.0000 2.7979
La 0.0000 2.7979 0.0000
La 2.7979 0.0000 0.0000
Pm 2.7979 2.7979 2.7979
Ru 0.0000 0.0000 0.0000
```

## Properties
ΔH_f (0 K), eV/atom: -0.06
Symmetry: No. 221
Energy relative to the lowest polymorph listed for this composition, meV/atom: 138.3

---

[22]
Entry from Alexandria via LeMat-Bulk: crystalline Pm2CdAgO5 at its relaxed geometry (PBE).

Geometry as extended XYZ:
```
18
Lattice="6.7770 0.0000 0.0000 0.0000 6.7770 0.0000 0.0000 0.0000 5.9451" Properties=species:S:1:pos:R:3 pbc="T T T"
Pm 1.1692 2.2193 0.0000
Pm 2.2193 5.6077 0.0000
Pm 4.5577 1.1692 0.0000
Pm 5.6077 4.5577 0.0000
Cd 0.0000 0.0000 2.9726
Cd 3.3885 3.3885 2.9726
Ag 0.0000 3.3885 2.9726
Ag 3.3885 0.0000 2.9726
O 0.0000 0.0000 0.0000
O 0.9541 4.3426 1.4217
O 0.9541 4.3426 4.5235
O 2.4344 0.9541 1.4217
O 2.4344 0.9541 4.5235
O 3.3885 3.3885 0.0000
O 4.3426 5.8229 1.4217
O 4.3426 5.8229 4.5235
O 5.8229 2.4344 1.4217
O 5.8229 2.4344 4.5235
```

## Properties
Symmetry: No. 127
Electronic total energy, eV/atom: -6.06

---

[23]
Entry from Alexandria via LeMat-Bulk: crystalline K2TlSi at its relaxed geometry (PBE).

Geometry as extended XYZ:
```
4
Lattice="6.2856 -2.1110 0.0000 6.2856 2.1110 0.0000 -2.7313 0.0000 5.2348" Properties=species:S:1:pos:R:3 pbc="T T T"
K 0.0000 0.0000 0.0000
K 0.5038 0.0000 3.6011
Tl 9.0833 0.0000 1.4330
Si 4.2326 0.0000 2.3246
```

## Properties
Symmetry: No. 8
Energy relative to the lowest polymorph listed for this composition, meV/atom: 0.1